## Mg2B13 (PBE)

Data for Mg2B13 after structural relaxation.

Lattice parameters (Å, degrees): 4.8595 4.8595 6.8931 69.36 69.36 60.00
Fractional positions:
1 B 0.4851 0.1429 0.8870
2 B 0.7956 0.7956 0.2552
3 B 0.4851 0.4851 0.8870
4 B 0.8464 0.2044 0.7448
5 B 0.1429 0.4851 0.8870
6 B 0.5149 0.5149 0.1130
7 B 0.2044 0.2044 0.7448
8 B 0.5149 0.8571 0.1130
9 B 0.1536 0.7956 0.2552
10 B 0.2044 0.8464 0.7448
11 B 0.7956 0.1536 0.2552
12 B 0.8571 0.5149 0.1130
13 B 0.5000 0.5000 0.5000
14 Mg 0.7888 0.7888 0.6335
15 Mg 0.2112 0.2112 0.3665

Energy of formation (kJ/mol of atoms): 39
Space-group type: No. 166
Calculated total energy (eV/f.u.): -83.98
N(E_F) (states/eV/atom): 0.284
Volume (Å³/f.u.): 128.8
Magnetic moment (Bohr magnetons per cell): 0.00